i | The following is a DFT calculation (PBE) of a geometry-optimized Y2PtCl structure.

crystal system = monoclinic

Lattice parameters (Å, degrees): 4.0466 4.0466 7.6655 74.42 74.42 59.85
Sites, in units of the cell vectors:
Cl 0.2500 0.2500 0.2500
Pt 0.7500 0.7500 0.7500
Y 0.0113 0.0113 0.9610
Y 0.4887 0.4887 0.5390

ii | The following is a DFT calculation (PBE) of a geometry-optimized Y2PtCl structure.

crystal system = cubic

Lattice parameters (Å, degrees): 5.0356 5.0356 5.0356 60.00 60.00 60.00
Sites, in units of the cell vectors:
Y 0.2500 0.2500 0.2500
Y 0.7500 0.7500 0.7500
Pt 0.5000 0.5000 0.5000
Cl 0.0000 0.0000 0.0000

iii | The following is a DFT calculation (PBE) of a geometry-optimized Y2PtCl structure.

crystal system = tetragonal

Lattice parameters (Å, degrees): 5.8383 4.0166 4.0195 90.01 90.00 90.00
Sites, in units of the cell vectors:
Cl 0.0000 0.3752 0.3750
Pt 0.5000 0.8750 0.8750
Y 0.0000 0.8749 0.8750
Y 0.5000 0.3750 0.3750

iv | The following is a DFT calculation (PBE) of a geometry-optimized Y2PtCl structure.

crystal system = orthorhombic

Lattice parameters (Å, degrees): 7.9608 7.9608 7.9608 152.70 154.07 38.00
Sites, in units of the cell vectors:
Cl 0.4515 0.4515 0.0000
Pt 0.2023 0.7023 0.5000
Y 0.0641 0.0641 0.0000
Y 0.7822 0.2822 0.5000

Here are the energies relative to the best structure, in meV/atom: i 0; ii 355; iii 97; iv 159.

i | The following is a DFT calculation (PBE) of a geometry-optimized Y2PtCl structure.

crystal system = orthorhombic

Lattice parameters (Å, degrees): 3.4474 3.6185 7.9755 89.99 90.00 90.00
Sites, in units of the cell vectors:
Cl 0.5000 0.2500 0.2500
Pt 0.5000 0.7500 0.7500
Y 0.0000 0.2501 0.9579
Y 0.0000 0.2499 0.5421

ii | The following is a DFT calculation (PBE) of a geometry-optimized Y2PtCl structure.

crystal system = trigonal

Lattice parameters (Å, degrees): 10.1081 10.1081 10.1081 21.28 21.28 21.28
Sites, in units of the cell vectors:
Cl 0.5141 0.5141 0.5141
Pt 0.7343 0.7343 0.7343
Y 0.0125 0.0125 0.0125
Y 0.2392 0.2392 0.2392

Here are the energies relative to the best structure, in meV/atom: i 0; ii 427.

i | The following is a DFT calculation (PBE) of a geometry-optimized YPt2Cl structure.

crystal system = monoclinic

Lattice parameters (Å, degrees): 3.5681 3.5888 7.8946 75.83 90.00 90.00
Sites, in units of the cell vectors:
Cl 0.5000 0.9641 0.6732
Pt 0.0000 0.7565 0.1317
Pt 0.5000 0.2058 0.2257
Y 0.0000 0.5737 0.4694

ii | The following is a DFT calculation (PBE) of a geometry-optimized YPt2Cl structure.

crystal system = tetragonal

Lattice parameters (Å, degrees): 5.1973 3.8452 3.8452 90.00 90.00 90.00
Sites, in units of the cell vectors:
Cl 0.5000 0.0000 0.5000
Pt 0.0000 0.0000 0.0000
Pt 0.0000 0.5000 0.5000
Y 0.5000 0.5000 0.0000

Here are the energies relative to the best structure, in meV/atom: i 0; ii 22.

i | The following is a DFT calculation (PBE) of a geometry-optimized Zn2PtCl structure.

crystal system = tetragonal

Lattice parameters (Å, degrees): 4.4601 4.4601 4.4601 109.69 109.69 109.03
Sites, in units of the cell vectors:
Cl 0.2500 0.7500 0.5000
Pt 0.7500 0.2500 0.5000
Zn 0.0000 0.0000 0.0000
Zn 0.5000 0.5000 0.0000

ii | The following is a DFT calculation (PBE) of a geometry-optimized Zn2PtCl structure.

crystal system = trigonal

Lattice parameters (Å, degrees): 8.9461 8.9461 8.9461 19.85 19.85 19.85
Sites, in units of the cell vectors:
Cl 0.5212 0.5212 0.5212
Pt 0.7329 0.7329 0.7329
Zn 0.9957 0.9957 0.9957
Zn 0.2503 0.2503 0.2503

iii | The following is a DFT calculation (PBE) of a geometry-optimized Zn2PtCl structure.

crystal system = orthorhombic

Lattice parameters (Å, degrees): 5.5066 5.5066 5.5066 147.47 101.91 87.17
Sites, in units of the cell vectors:
Cl 0.7500 0.2500 0.5000
Pt 0.2500 0.7500 0.5000
Zn 0.0028 0.0028 0.0000
Zn 0.4972 0.4972 0.0000

iv | The following is a DFT calculation (PBE) of a geometry-optimized Zn2PtCl structure.

crystal system = orthorhombic

Lattice parameters (Å, degrees): 8.0136 8.0136 8.0136 158.29 154.29 33.90
Sites, in units of the cell vectors:
Cl 0.4768 0.4768 0.0000
Pt 0.1983 0.6983 0.5000
Zn 0.0621 0.0621 0.0000
Zn 0.7628 0.2628 0.5000

Here are the energies relative to the best structure, in meV/atom: i 436; ii 219; iii 259; iv 0.

i | The following is a DFT calculation (PBE) of a geometry-optimized Zn2PtCl structure.

crystal system = monoclinic

Lattice parameters (Å, degrees): 3.9188 3.9188 7.9807 64.64 64.64 45.57
Sites, in units of the cell vectors:
Cl 0.7500 0.7500 0.7500
Pt 0.2500 0.2500 0.2500
Zn 0.0600 0.0600 0.0430
Zn 0.4400 0.4400 0.4570

ii | The following is a DFT calculation (PBE) of a geometry-optimized Zn2PtCl structure.

crystal system = orthorhombic

Lattice parameters (Å, degrees): 4.7664 4.6966 2.9090 90.00 90.00 90.00
Sites, in units of the cell vectors:
Cl 0.5000 0.0000 0.5000
Pt 0.0000 0.5000 0.5000
Zn 0.0000 0.0000 0.0000
Zn 0.5000 0.5000 0.0000

iii | The following is a DFT calculation (PBE) of a geometry-optimized Zn2PtCl structure.

crystal system = cubic

Lattice parameters (Å, degrees): 4.5748 4.5748 4.5748 60.00 60.00 60.00
Sites, in units of the cell vectors:
Cl 0.5000 0.5000 0.5000
Pt 0.7500 0.7500 0.7500
Zn 0.0000 0.0000 0.0000
Zn 0.2500 0.2500 0.2500

Here are the energies relative to the best structure, in meV/atom: i 0; ii 120; iii 628.

i | The following is a DFT calculation (PBE) of a geometry-optimized Zn2PtCl structure.

crystal system = tetragonal

Lattice parameters (Å, degrees): 6.5871 6.5871 5.9712 56.53 56.53 90.00
Sites, in units of the cell vectors:
Zn 0.6308 0.1250 0.2500
Zn 0.1192 0.6250 0.2500
Zn 0.3750 0.3692 0.7500
Zn 0.8750 0.8808 0.7500
Pt 0.0000 0.0000 0.0000
Pt 0.7500 0.2500 0.5000
Cl 0.5000 0.5000 0.0000
Cl 0.2500 0.7500 0.5000

ii | The following is a DFT calculation (PBE) of a geometry-optimized Zn2PtCl structure.

crystal system = monoclinic

Lattice parameters (Å, degrees): 2.9788 3.3932 7.0591 89.93 90.00 90.00
Sites, in units of the cell vectors:
Cl 0.5000 0.2500 0.2500
Pt 0.5000 0.7500 0.7500
Zn 0.0000 0.2494 0.9515
Zn 0.0000 0.2506 0.5485

iii | The following is a DFT calculation (PBE) of a geometry-optimized Zn2PtCl structure.

crystal system = orthorhombic

Lattice parameters (Å, degrees): 3.3163 3.7294 6.8562 90.00 90.00 90.00
Sites, in units of the cell vectors:
Cl 0.0000 0.0000 0.4108
Pt 0.5000 0.5000 0.9127
Zn 0.0000 0.0000 0.9083
Zn 0.5000 0.5000 0.2682

Here are the energies relative to the best structure, in meV/atom: i 342; ii 0; iii 207.

i | The following is a DFT calculation (PBE) of a geometry-optimized ZnPtCl structure.

crystal system = cubic

Lattice parameters (Å, degrees): 4.3432 4.3432 4.3432 60.00 60.00 60.00
Sites, in units of the cell vectors:
Cl 0.5000 0.5000 0.5000
Pt 0.7500 0.7500 0.7500
Zn 0.0000 0.0000 0.0000

ii | The following is a DFT calculation (PBE) of a geometry-optimized ZnPtCl structure.

crystal system = trigonal

Lattice parameters (Å, degrees): 4.4163 4.4163 3.0365 90.00 90.00 120.00
Sites, in units of the cell vectors:
Cl 0.0000 0.0000 0.1248
Pt 0.3333 0.6667 0.2939
Zn 0.6667 0.3333 0.5814

Here are the energies relative to the best structure, in meV/atom: i 0; ii 47.

i | The following is a DFT calculation (PBE) of a geometry-optimized ZnPtCl structure.

crystal system = orthorhombic

Lattice parameters (Å, degrees): 3.0967 3.0995 13.9999 90.00 90.00 119.97
Sites, in units of the cell vectors:
Zn 0.5540 0.1080 0.0000
Zn 0.3350 0.6700 0.5000
Pt 0.6681 0.3361 0.3652
Pt 0.6681 0.3361 0.6348
Cl 0.2208 0.4415 0.8843
Cl 0.2208 0.4415 0.1157

ii | The following is a DFT calculation (PBE) of a geometry-optimized ZnPtCl structure.

crystal system = cubic

Lattice parameters (Å, degrees): 4.3477 4.3477 4.3477 60.00 60.00 60.00
Sites, in units of the cell vectors:
Cl 0.0000 0.0000 0.0000
Pt 0.5000 0.5000 0.5000
Zn 0.7500 0.7500 0.7500

Here are the energies relative to the best structure, in meV/atom: i 0; ii 523.